Entry 1:
A relaxed structure of CdGa4Ag2. Source: the Alexandria database, functional PBE-GGA.

POSCAR file:
```
CdGa4Ag2
1.0
5.2299 -2.7724 0.0000
5.2299 2.7724 0.0000
-3.0540 0.0000 4.7755
Cd Ga Ag
1 4 2
Cartesian
0.0000 0.0000 0.0000
2.0697 1.4725 1.3296
5.3362 1.4725 3.4459
2.0697 -1.4725 1.3296
5.3362 -1.4725 3.4459
2.9247 0.0000 3.5839
4.4812 0.0000 1.1916
```

Computed properties:
Crystal system: monoclinic
Offset from the most stable computed form: 0 meV/atom
Space group: No. 12
Volume: 138 Å³ per cell

Entry 2:
A relaxed structure of HfTc3Mo. Source: the Alexandria database, functional PBE-GGA.

POSCAR file:
```
HfTc3Mo
1.0
4.6298 0.0000 0.0000
0.0000 4.6298 0.0000
0.0000 0.0000 4.6298
Hf Tc Mo
1 3 1
Cartesian
0.0000 0.0000 0.0000
0.0000 2.3149 2.3149
2.3149 0.0000 2.3149
2.3149 2.3149 0.0000
2.3149 2.3149 2.3149
```

Computed properties:
Crystal system: cubic
Offset from the most stable computed form: 0 meV/atom
Space group: No. 221
Volume: 99 Å³ per cell

Entry 3:
A relaxed structure of KGa4Sn. Source: the Alexandria database, functional PBE-GGA.

POSCAR file:
```
KGa4Sn
1.0
0.0000 4.1315 4.1315
4.1315 0.0000 4.1315
4.1315 4.1315 0.0000
K Ga Sn
1 4 1
Cartesian
0.0000 0.0000 0.0000
5.1651 3.0979 3.0979
3.0979 5.1651 3.0979
3.0979 3.0979 5.1651
5.1651 5.1651 5.1651
2.0657 2.0657 2.0657
```

Computed properties:
Crystal system: cubic
Offset from the most stable computed form: 99 meV/atom
Space group: No. 216
Volume: 141 Å³ per cell

| no. | formation energy (eV/atom) |
| --- | --- |
| 1 | 0.048 |
| 2 | 1.168 |
| 3 | 0.019 |